[1]
KAcMgTl: optimized geometry, PBE.

Summary:
Volume (Å³ per cell): 143
Calculated formation energy (kJ/mol of formula units): 2

Cell: 5.873 5.873 5.873 Å, 60.00 60.00 60.00°
Atoms (fractional coordinates):
Mg: 0.500 0.500 0.500
K: 0.750 0.750 0.750
Tl: 0.000 0.000 0.000
Ac: 0.250 0.250 0.250

***

[2]
KAc2MnN4: optimized geometry, PBE.

Summary:
Volume (Å³ per cell): 153
Raw formation energy (eV per atom): -0.627

Cell: 6.112 5.948 5.948 Å, 86.73 59.05 59.05°
Atoms (fractional coordinates):
N: 0.642 0.565 0.793
N: 0.000 0.793 0.565
Ac: 0.500 0.750 0.250
K: 0.000 0.000 0.000
N: 0.358 0.207 0.435
Ac: 0.500 0.250 0.750
N: 0.000 0.435 0.207
Mn: 0.000 0.500 0.500

***

[3]
KAc2Mn2N6: optimized geometry, PBE.

Summary:
Volume (Å³ per cell): 193
Raw formation energy (eV per atom): -0.524

Cell: 7.056 6.929 5.914 Å, 115.55 95.85 49.83°
Atoms (fractional coordinates):
N: 0.324 0.539 0.743
N: 0.892 0.936 0.623
Mn: 0.004 0.818 0.839
N: 0.108 0.064 0.377
K: 0.500 0.000 0.500
Ac: 0.259 0.547 0.228
Mn: 0.996 0.182 0.161
N: 0.163 0.200 0.004
N: 0.837 0.800 0.996
Ac: 0.741 0.453 0.772
N: 0.676 0.461 0.257

***

[4]
KAcMnN3: optimized geometry, PBE.

Summary:
Volume (Å³ per cell): 210
Raw formation energy (eV per atom): -0.246

Cell: 3.834 7.289 8.096 Å, 105.52 90.00 105.25°
Atoms (fractional coordinates):
N: 0.117 0.235 0.800
N: 0.148 0.296 0.359
Ac: 0.344 0.688 0.403
Ac: 0.656 0.312 0.597
N: 0.513 0.026 0.330
K: 0.371 0.741 0.929
N: 0.883 0.765 0.200
K: 0.629 0.259 0.071
N: 0.487 0.974 0.670
N: 0.852 0.704 0.641
Mn: 0.009 0.018 0.310
Mn: 0.991 0.982 0.690